## one
PBE Zn2HgP2, optimized geometry; total magnetization = 0.0000 μB/atom
1.0
7.920 0.000 0.000
0.000 7.920 0.000
0.000 0.000 2.812
Zn Hg P
4 2 4
direct
0.143 0.357 0.000 Zn
0.357 0.857 0.000 Zn
0.643 0.143 0.000 Zn
0.857 0.643 0.000 Zn
0.000 0.000 0.500 Hg
0.500 0.500 0.500 Hg
0.153 0.653 0.500 P
0.347 0.153 0.500 P
0.653 0.847 0.500 P
0.847 0.347 0.500 P

---

## two
PBE Zn2HgP2, optimized geometry; total magnetization = 0.0000 μB/atom
1.0
4.528 0.000 0.000
0.000 4.528 0.000
0.000 0.000 9.108
Zn Hg P
4 2 4
direct
0.000 0.500 0.250 Zn
0.000 0.500 0.750 Zn
0.500 0.000 0.250 Zn
0.500 0.000 0.750 Zn
0.000 0.000 0.000 Hg
0.500 0.500 0.500 Hg
0.000 0.000 0.377 P
0.000 0.000 0.623 P
0.500 0.500 0.123 P
0.500 0.500 0.877 P

---

Decreasing stability: two, one